(1)
SrCuSn2: optimized geometry, PBE.

Values from the calculation:
crystal system	orthorhombic

a b c (Å): 4.6998 9.6182 10.6060
angles (deg): 116.96 102.80 90.00
Closest atoms and distances in Å follow each position.
Positions (direct):
Cu 0.1460 0.4039 0.2920  4 Sn 2.65-2.72
Cu 0.8540 0.1119 0.7080  4 Sn 2.65-2.72
Cu 0.1460 0.8881 0.2920  4 Sn 2.65-2.72
Cu 0.8540 0.5961 0.7080  4 Sn 2.65-2.72
Sn 0.6917 0.0334 0.3834  2 Cu 2.67
Sn 0.0846 0.0846 0.1693  2 Cu 2.72
Sn 0.3083 0.9666 0.6166  2 Cu 2.67
Sn 0.0771 0.5771 0.1542  2 Cu 2.65, 1 Sn 2.82
Sn 0.6917 0.3499 0.3834  2 Cu 2.67
Sn 0.9229 0.4229 0.8458  2 Cu 2.65, 1 Sn 2.82
Sn 0.9154 0.9154 0.8307  2 Cu 2.72
Sn 0.3083 0.6501 0.6166  2 Cu 2.67
Sr 0.5000 0.7385 0.0000  4 Cu 3.56, 10 Sn 3.57-3.77
Sr 0.7040 0.7040 0.4081  8 Sn 3.29-3.39, 4 Cu 3.47
Sr 0.5000 0.2615 0.0000  4 Cu 3.56, 10 Sn 3.57-3.77
Sr 0.2960 0.2960 0.5919  8 Sn 3.29-3.39, 4 Cu 3.47



(2)
Sr2CuSn6: optimized geometry, PBE.

Values from the calculation:
crystal system	orthorhombic

a b c (Å): 4.5291 4.6424 12.5861
angles (deg): 90.00 100.37 90.00
Closest atoms and distances in Å follow each position.
Positions (direct):
Sn 0.7188 0.0000 0.4376  2 Cu 2.71, 1 Sn 2.91
Sn 0.4521 0.5000 0.9042  2 Sn 2.89
Sn 0.2178 0.5000 0.4356  2 Cu 2.67, 1 Sn 2.92
Sn 0.8796 0.5000 0.7593  1 Cu 2.59, 2 Sn 2.89
Sn 0.6011 0.0000 0.2022  5 Sn 2.91-3.24
Sn 0.1000 0.5000 0.2001  5 Sn 2.92-3.24
Cu 0.7752 0.5000 0.5503  5 Sn 2.59-2.71
Sr 0.3313 0.0000 0.6626  10 Sn 3.46-3.79, 4 Cu 3.53
Sr 0.9931 0.0000 0.9862  10 Sn 3.40-3.64



(3)
SrCu3Sn3: optimized geometry, PBE.

Values from the calculation:
crystal system	trigonal

a b c (Å): 7.0940 7.0940 8.7693
angles (deg): 66.14 66.14 60.00
Closest atoms and distances in Å follow each position.
Positions (direct):
Sn 0.3961 0.0240 0.6939  3 Cu 2.60-2.71
Sn 0.9760 0.1141 0.3061  3 Cu 2.60-2.71
Sn 0.6039 0.9760 0.3061  3 Cu 2.60-2.71
Sn 0.8859 0.3961 0.6939  3 Cu 2.60-2.71
Sn 0.1141 0.6039 0.3061  3 Cu 2.60-2.71
Sn 0.0240 0.8859 0.6939  3 Cu 2.60-2.71
Cu 0.3417 0.7666 0.3699  4 Cu 2.52-2.62, 3 Sn 2.60-2.71
Cu 0.6583 0.2334 0.6301  4 Cu 2.52-2.62, 3 Sn 2.60-2.71
Cu 0.5218 0.3417 0.3699  4 Cu 2.52-2.62, 3 Sn 2.60-2.71
Cu 0.2334 0.4782 0.6301  4 Cu 2.52-2.62, 3 Sn 2.60-2.71
Cu 0.7666 0.5218 0.3699  4 Cu 2.52-2.62, 3 Sn 2.60-2.71
Cu 0.4782 0.6583 0.6301  4 Cu 2.52-2.62, 3 Sn 2.60-2.71
Sr 0.3379 0.3379 0.9862  3 Cu 3.15, 3 Sn 3.41
Sr 0.6621 0.6621 0.0138  3 Cu 3.15, 3 Sn 3.41



(4)
SrCu3Sn: optimized geometry, PBE.

Values from the calculation:
crystal system	cubic

a b c (Å): 5.2666 5.2666 5.2666
angles (deg): 90.00 90.00 90.00
Closest atoms and distances in Å follow each position.
Positions (direct):
Sn 0.5000 0.5000 0.5000  12 Cu 3.72
Cu 0.5000 0.0000 0.0000  2 Sr 2.63
Cu 0.0000 0.5000 0.0000  2 Sr 2.63
Cu 0.0000 0.0000 0.5000  2 Sr 2.63
Sr 0.0000 0.0000 0.0000  6 Cu 2.63



(5)
SrCuSn2: optimized geometry, PBE.

Values from the calculation:
crystal system	tetragonal

a b c (Å): 5.2004 5.2004 9.8138
angles (deg): 74.64 74.64 90.00
Closest atoms and distances in Å follow each position.
Positions (direct):
Sn 0.3750 0.4935 0.7500  2 Cu 2.71, 2 Sn 2.94
Sn 0.8750 0.7565 0.7500  2 Cu 2.71, 2 Sn 2.94
Sn 0.2435 0.6250 0.2500  2 Cu 2.71, 2 Sn 2.94
Sn 0.5065 0.1250 0.2500  2 Cu 2.71, 2 Sn 2.94
Sr 0.7500 0.2500 0.5000  4 Sn 3.25
Sr 0.0000 0.0000 0.0000  4 Sn 3.25
Cu 0.2500 0.7500 0.5000  4 Sn 2.71
Cu 0.5000 0.5000 0.0000  4 Sn 2.71



(6)
SrCuSn3: optimized geometry, PBE.

Values from the calculation:
crystal system	orthorhombic

a b c (Å): 4.6705 4.6499 12.5577
angles (deg): 89.98 79.28 90.00
Closest atoms and distances in Å follow each position.
Positions (direct):
Cu 0.8620 0.2499 0.2760  5 Sn 2.57-2.69
Cu 0.1380 0.7501 0.7240  5 Sn 2.57-2.69
Sn 0.8092 0.7497 0.3816  2 Cu 2.66-2.67, 1 Sn 2.89
Sn 0.6920 0.7506 0.6160  2 Cu 2.69, 1 Sn 2.89
Sn 0.0338 0.7500 0.9323  1 Cu 2.57, 2 Sn 2.86
Sn 0.3080 0.2494 0.3840  2 Cu 2.69, 1 Sn 2.89
Sn 0.1908 0.2503 0.6184  2 Cu 2.66-2.67, 1 Sn 2.89
Sn 0.9662 0.2500 0.0677  1 Cu 2.57, 2 Sn 2.86
Sr 0.4183 0.7501 0.1633  10 Sn 3.50-3.68, 4 Cu 3.58
Sr 0.5817 0.2499 0.8367  10 Sn 3.50-3.68, 4 Cu 3.58



(7)
SrTiCu2Sn: optimized geometry, PBE.

Values from the calculation:
crystal system	tetragonal

a b c (Å): 4.9347 5.8597 4.9347
angles (deg): 90.00 90.00 90.00
Closest atoms and distances in Å follow each position.
Positions (direct):
Sr 0.0000 0.0000 0.0000  4 Cu 2.47
Cu 0.0000 0.0000 0.5000  2 Sr 2.47
Cu 0.5000 0.0000 0.0000  2 Sr 2.47
Sn 0.0000 0.5000 0.0000  2 Sr 2.93
Ti 0.5000 0.5000 0.5000  4 Sn 3.49, 8 Cu 3.83



(8)
SrTiCu2Sn: optimized geometry, PBE.

Values from the calculation:
crystal system	tetragonal

a b c (Å): 4.9110 5.2171 4.9110
angles (deg): 90.00 90.00 90.00
Closest atoms and distances in Å follow each position.
Positions (direct):
Sr 0.5000 0.5000 0.5000  4 Sn 3.47, 8 Cu 3.58
Ti 0.0000 0.0000 0.0000  4 Cu 2.46, 2 Sn 2.61
Cu 0.0000 0.0000 0.5000  2 Ti 2.46
Cu 0.5000 0.0000 0.0000  2 Ti 2.46
Sn 0.0000 0.5000 0.0000  2 Ti 2.61



(9)
SrZnCuSn2: optimized geometry, PBE.

Values from the calculation:
crystal system	tetragonal

a b c (Å): 4.5743 4.5743 6.6026
angles (deg): 110.27 110.27 90.00
Closest atoms and distances in Å follow each position.
Positions (direct):
Sn 0.6258 0.6258 0.2516  2 Cu 2.70, 2 Zn 2.70, 1 Sn 2.90
Sn 0.3742 0.3742 0.7484  2 Cu 2.70, 2 Zn 2.70, 1 Sn 2.90
Sr 0.0000 0.0000 0.0000  8 Sn 3.54, 4 Cu 3.68, 4 Zn 3.68
Zn 0.7500 0.2500 0.5000  4 Sn 2.70
Cu 0.2500 0.7500 0.5000  4 Sn 2.70



(10)
Ta2CuSn2: optimized geometry, PBE.

Values from the calculation:
crystal system	tetragonal

a b c (Å): 6.9576 6.9576 4.1473
angles (deg): 90.00 90.00 90.00
Closest atoms and distances in Å follow each position.
Positions (direct):
Cu 0.5000 0.5000 0.0000  4 Ta 2.68
Cu 0.0000 0.0000 0.0000  4 Ta 2.68
Ta 0.1411 0.3589 0.0000  2 Cu 2.68, 1 Ta 2.78, 6 Sn 2.83-2.97
Ta 0.6411 0.1411 0.0000  2 Cu 2.68, 1 Ta 2.78, 6 Sn 2.83-2.97
Ta 0.3589 0.8589 0.0000  2 Cu 2.68, 1 Ta 2.78, 6 Sn 2.83-2.97
Ta 0.8589 0.6411 0.0000  2 Cu 2.68, 1 Ta 2.78, 6 Sn 2.83-2.97
Sn 0.6638 0.8362 0.5000  6 Ta 2.83-2.97
Sn 0.8362 0.3362 0.5000  6 Ta 2.83-2.97
Sn 0.1638 0.6638 0.5000  6 Ta 2.83-2.97
Sn 0.3362 0.1638 0.5000  6 Ta 2.83-2.97



(11)
TaCu3Sn: optimized geometry, PBE.

Values from the calculation:
crystal system	cubic

a b c (Å): 4.8192 4.8192 4.8192
angles (deg): 90.00 90.00 90.00
Closest atoms and distances in Å follow each position.
Positions (direct):
Sn 0.5000 0.5000 0.5000  12 Cu 3.41
Cu 0.0000 0.0000 0.5000  2 Ta 2.41
Cu 0.0000 0.5000 0.0000  2 Ta 2.41
Cu 0.5000 0.0000 0.0000  2 Ta 2.41
Ta 0.0000 0.0000 0.0000  6 Cu 2.41



(12)
TaCu2Sn2: optimized geometry, PBE.

Values from the calculation:
crystal system	tetragonal

a b c (Å): 7.4169 7.4169 3.1969
angles (deg): 90.00 90.00 90.00
Closest atoms and distances in Å follow each position.
Positions (direct):
Cu 0.6172 0.1172 0.0000  1 Cu 2.46, 2 Sn 2.65
Cu 0.3828 0.8828 0.0000  1 Cu 2.46, 2 Sn 2.65
Cu 0.1172 0.3828 0.0000  1 Cu 2.46, 2 Sn 2.65
Cu 0.8828 0.6172 0.0000  1 Cu 2.46, 2 Sn 2.65
Sn 0.8189 0.3189 0.5000  6 Cu 2.65-2.77
Sn 0.3189 0.1811 0.5000  6 Cu 2.65-2.77
Sn 0.1811 0.6811 0.5000  6 Cu 2.65-2.77
Sn 0.6811 0.8189 0.5000  6 Cu 2.65-2.77
Ta 0.5000 0.5000 0.0000  4 Cu 2.97, 8 Sn 3.15, 2 Ta 3.20
Ta 0.0000 0.0000 0.0000  4 Cu 2.97, 8 Sn 3.15, 2 Ta 3.20



Let's list electronic total energy in order: -3.838 -3.839 -3.807 -2.399 -3.552 -3.900 -2.877 -4.089 -3.335 -6.846 -4.353 -5.390 eV/atom.
Let's list calculated formation energy in order: -37.9 -32.9 -9.2 115.4 -10.2 -33.0 142.6 25.6 -31.2 30.4 123.1 21.2 kJ/mol of atoms.